1.
CrCu3B | PBE-GGA | relaxed

Its formation energy is 2.0534 eV per atom.

It has space group Pm-3m (No. 221), with a = 4.564 Å, b = 4.564 Å, c = 4.564 Å, α = 90.00°, β = 90.00° and γ = 90.00°. The distinct sites, in fractional coordinates, are Cr at (0.000, 0.000, 0.000), Cu at (0.000, 0.000, 0.500) and B at (0.500, 0.500, 0.500).

=====

2.
Ac2InCu3Sn4 | PBE-GGA | relaxed

Its formation energy is -0.3971 eV per atom.

It has space group P-4m2 (No. 115), with a = 4.658 Å, b = 4.658 Å, c = 11.279 Å, α = 90.00°, β = 90.00° and γ = 90.00°. The distinct sites, in fractional coordinates, are Ac at (0.000, 0.500, 0.243), In at (0.000, 0.000, 0.500), Cu at (0.000, 0.500, 0.876), Cu at (0.500, 0.500, 0.500), Sn at (0.000, 0.000, 0.000), Sn at (0.000, 0.500, 0.647) and Sn at (0.500, 0.500, 0.000).

=====

3.
Ti6Zn5Co | PBE-GGA | relaxed

Its formation energy is -0.1945 eV per atom.

It has space group Immm (No. 71), with a = 4.419 Å, b = 6.246 Å, c = 13.202 Å, α = 90.00°, β = 90.00° and γ = 90.00°. The distinct sites, in fractional coordinates, are Ti at (0.000, 0.239, 0.000), Ti at (0.000, 0.258, 0.339), Zn at (0.000, 0.000, 0.174), Zn at (0.000, 0.000, 0.500), Zn at (0.000, 0.500, 0.167) and Co at (0.000, 0.500, 0.500).

=====

4.
Tl2InAu | PBE-GGA | relaxed

Its formation energy is 0.0339 eV per atom.

It has space group P4/mmm (No. 123), with a = 4.618 Å, b = 4.618 Å, c = 4.912 Å, α = 90.00°, β = 90.00° and γ = 90.00°. The distinct sites, in fractional coordinates, are Tl at (0.000, 0.500, 0.000), In at (0.000, 0.000, 0.500) and Au at (0.500, 0.500, 0.500).

=====

5.
AgTe2Cl | PBE-GGA | relaxed

Its formation energy (no corrections) is 0.20 eV/f.u.

It has space group P4/mmm (No. 123), with a = 3.787 Å, b = 3.787 Å, c = 7.352 Å, α = 90.00°, β = 90.00° and γ = 90.00°. The distinct sites, in fractional coordinates, are Ag at (0.000, 0.000, 0.000), Te at (0.500, 0.500, 0.192) and Cl at (0.000, 0.000, 0.500).

=====

6.
PuMg4Hg2 | PBE-GGA | relaxed

Its formation energy is -0.1040 eV per atom.

It has space group R-3m (No. 166, hexagonal axes), with a = 4.9880 Å, b = 4.9880 Å, c = 22.8852 Å, α = 90.00°, β = 90.00° and γ = 120.00°. The distinct sites, in fractional coordinates, are Pu at (0.0000, 0.0000, 0.0000), Mg at (0.0000, 0.0000, 0.1426), Mg at (0.0000, 0.0000, 0.4189) and Hg at (0.0000, 0.0000, 0.2688).

=====

7.
Dy3HgSe6 | PBE-GGA | relaxed

Its formation energy (no corrections) is -13.58 eV/f.u.

It has space group Cmc2_1 (No. 36), with a = 11.035 Å, b = 14.098 Å, c = 6.875 Å, α = 90.00°, β = 90.00° and γ = 90.00°. The distinct sites, in fractional coordinates, are Dy at (0.000, 0.096, 0.000), Dy at (0.183, 0.404, 0.902), Hg at (0.000, 0.293, 0.377), Se at (0.000, 0.272, 0.756), Se at (0.000, 0.470, 0.194), Se at (0.162, 0.034, 0.704) and Se at (0.185, 0.229, 0.152).

=====

8.
Nb3CoPd | PBE-GGA | relaxed

Its formation energy is 0.6230 eV per atom.

It has space group Pm-3m (No. 221), with a = 4.560 Å, b = 4.560 Å, c = 4.560 Å, α = 90.00°, β = 90.00° and γ = 90.00°. The distinct sites, in fractional coordinates, are Nb at (0.000, 0.000, 0.500), Co at (0.000, 0.000, 0.000) and Pd at (0.500, 0.500, 0.500).

=====

Number 1: Fermi-level density of states 0.629 states/eV per atom, volume 19.017 Å³ per atom. Number 2: Fermi-level density of states 0.386 states/eV per atom, volume 24.470 Å³ per atom. Number 3: Fermi-level density of states 0.822 states/eV per atom, volume 15.185 Å³ per atom. Number 4: Fermi-level density of states 0.447 states/eV per atom, volume 26.189 Å³ per atom. Number 5: Fermi-level density of states 0.307 states/eV per atom, volume 26.367 Å³ per atom. Number 6: Fermi-level density of states 2.239 states/eV per atom, volume 23.481 Å³ per atom. Number 7: Fermi-level density of states 0.747 states/eV per atom, volume 26.740 Å³ per atom. Number 8: Fermi-level density of states 1.203 states/eV per atom, volume 18.963 Å³ per atom.